Entry 1:
Entry from the Alexandria database: Ba2ZrBe after structural relaxation (PBE).

D(E_F) in states/eV/atom: 1.281
E_form in eV per atom: 0.397

abc: 3.631 3.631 9.971
angles: 90.00 90.00 90.00
Fractional coordinates of all 4 atoms:
Ba 0.000 0.000 0.000
Ba 0.500 0.500 0.389
Zr 0.500 0.500 0.716
Be 0.000 0.000 0.621

Entry 2:
Entry from the Alexandria database: Ba2ZrBe after structural relaxation (PBE).

D(E_F) in states/eV/atom: 0.988
E_form in eV per atom: 0.596

abc: 3.909 4.670 8.076
angles: 90.00 103.68 90.00
Fractional coordinates of all 4 atoms:
Ba 0.000 0.000 0.000
Ba 0.309 0.500 0.583
Zr 0.720 0.000 0.361
Be 0.574 0.500 0.220

Entry 3:
Entry from the Alexandria database: Ba2ZrBe after structural relaxation (PBE).

D(E_F) in states/eV/atom: 1.441
E_form in eV per atom: 0.889

abc: 5.562 5.562 5.562
angles: 60.00 60.00 60.00
Fractional coordinates of all 4 atoms:
Ba 0.000 0.000 0.000
Ba 0.250 0.250 0.250
Zr 0.750 0.750 0.750
Be 0.500 0.500 0.500

Entry 4:
Entry from the Alexandria database: BaZr2Be after structural relaxation (PBE).

D(E_F) in states/eV/atom: 1.277
E_form in eV per atom: 0.532

abc: 5.235 5.235 6.819
angles: 101.04 101.04 37.36
Fractional coordinates of all 4 atoms:
Ba 0.000 0.000 0.000
Zr 0.547 0.547 0.519
Zr 0.798 0.798 0.385
Be 0.265 0.265 0.665

Entry 5:
Entry from the Alexandria database: BaZr3Be after structural relaxation (PBE).

D(E_F) in states/eV/atom: 1.876
E_form in eV per atom: 2.148

abc: 5.249 5.249 5.249
angles: 90.00 90.00 90.00
Fractional coordinates of all 5 atoms:
Ba 0.000 0.000 0.000
Zr 0.000 0.000 0.500
Zr 0.000 0.500 0.000
Zr 0.500 0.000 0.000
Be 0.500 0.500 0.500

Entry 6:
Entry from the Alexandria database: Ba2ZrBe after structural relaxation (PBE).

D(E_F) in states/eV/atom: 1.111
E_form in eV per atom: 0.536

abc: 7.059 7.059 7.059
angles: 150.19 131.21 58.23
Fractional coordinates of all 4 atoms:
Ba 0.000 0.000 0.000
Ba 0.702 0.202 0.500
Zr 0.398 0.398 0.000
Be 0.248 0.748 0.500

Entry 7:
Entry from the Alexandria database: BaZrBe2 after structural relaxation (PBE).

D(E_F) in states/eV/atom: 0.777
E_form in eV per atom: 0.913

abc: 5.634 5.634 5.634
angles: 136.77 136.77 62.80
Fractional coordinates of all 4 atoms:
Ba 0.000 0.000 0.000
Zr 0.750 0.250 0.500
Be 0.250 0.750 0.500
Be 0.500 0.500 0.000

Entry 8:
Entry from the Alexandria database: BaZr2Be after structural relaxation (PBE).

D(E_F) in states/eV/atom: 1.142
E_form in eV per atom: 0.522

abc: 8.319 8.319 8.319
angles: 156.90 151.00 37.40
Fractional coordinates of all 4 atoms:
Ba 0.000 0.000 0.000
Zr 0.313 0.813 0.500
Zr 0.680 0.680 0.000
Be 0.812 0.312 0.500

Entry 9:
Entry from the Alexandria database: BaZrBe2 after structural relaxation (PBE).

D(E_F) in states/eV/atom: 0.875
E_form in eV per atom: 0.377

abc: 3.329 3.942 7.142
angles: 90.00 103.13 90.00
Fractional coordinates of all 4 atoms:
Ba 0.000 0.000 0.000
Zr 0.275 0.500 0.561
Be 0.642 0.500 0.289
Be 0.709 0.000 0.427

Entry 10:
Entry from the Alexandria database: BaZr2Be after structural relaxation (PBE).

D(E_F) in states/eV/atom: 1.177
E_form in eV per atom: 0.736

abc: 3.344 5.309 5.445
angles: 90.00 90.00 90.00
Fractional coordinates of all 4 atoms:
Ba 0.000 0.000 0.000
Zr 0.000 0.500 0.500
Zr 0.500 0.500 0.000
Be 0.500 0.000 0.500

Entry 11:
Entry from the Alexandria database: Ba2ZrBe after structural relaxation (PBE).

D(E_F) in states/eV/atom: 1.298
E_form in eV per atom: 0.438

abc: 9.347 9.347 9.347
angles: 27.50 27.50 27.50
Fractional coordinates of all 4 atoms:
Ba 0.000 0.000 0.000
Ba 0.184 0.184 0.184
Zr 0.425 0.425 0.425
Be 0.759 0.759 0.759

Entry 12:
Entry from the Alexandria database: BaZrBe2 after structural relaxation (PBE).

D(E_F) in states/eV/atom: 1.019
E_form in eV per atom: 0.537

abc: 3.090 3.090 8.622
angles: 90.00 90.00 90.00
Fractional coordinates of all 4 atoms:
Ba 0.000 0.000 0.000
Zr 0.500 0.500 0.613
Be 0.000 0.000 0.407
Be 0.500 0.500 0.303